Below is a crystal of CuNiO2 relaxed with PBEsol, with properties calculated at the meta-GGA SCAN level.

Lattice parameters (Å, degrees): 2.8122 2.9714 5.2115 78.73 74.35 61.76
Fractional positions:
Ni 0.0000 0.5000 0.5000
Cu 0.0000 0.0000 0.0000
O 0.5981 0.0861 0.7177
O 0.4019 0.9139 0.2823

Summary:
As for the uncorrected formation energy: -1.017 eV per atom. As for the space-group type: C2/m, No. 12. As for the crystal system: monoclinic. The calculation puts the density of states at the Fermi level at 0.15 states/eV per cell. The value obtained for the raw total energy is -11.976 eV per atom.